Density functional theory data (GGA-PBE) for crystalline Ta2Be2Al at its relaxed geometry.

## Properties
Its energy of formation is -1.17 eV/f.u. The symmetry is P4/mbm. For the excess energy over the best structure of this formula in the dataset, the calculation gives 0.0 kJ/mol of atoms. The value obtained for the density of states at the Fermi level is 0.500 states/eV/atom.

Lattice parameters (Å, degrees): 6.1203 6.1203 3.5727 90.00 90.00 90.00
Last column: nearest neighbours and their distance in Å.
Sites, in units of the cell vectors:
Be: 0.1181 0.3819 0.0000  1 Be 2.04
Be: 0.8819 0.6181 0.0000  1 Be 2.04
Be: 0.3819 0.8819 0.0000  1 Be 2.04
Be: 0.6181 0.1181 0.0000  1 Be 2.04
Ta: 0.6766 0.8234 0.5000  6 Be 2.52-2.56
Ta: 0.1766 0.6766 0.5000  6 Be 2.52-2.56
Ta: 0.3234 0.1766 0.5000  6 Be 2.52-2.56
Ta: 0.8234 0.3234 0.5000  6 Be 2.52-2.56
Al: 0.0000 0.0000 0.0000  4 Be 2.45
Al: 0.5000 0.5000 0.0000  4 Be 2.45


Density functional theory data (GGA-PBE) for crystalline Sr4Au3 at its relaxed geometry.

## Properties
Its energy of formation is -4.16 eV/f.u. The symmetry is I4/mmm. The value obtained for the density of states at the Fermi level is 0.663 states/eV/atom.

Lattice parameters (Å, degrees): 13.6697 13.6697 13.6697 161.78 161.78 25.87
Last column: nearest neighbours and their distance in Å.
Sites, in units of the cell vectors:
Au: 0.3172 0.3172 0.0000  6 Sr 3.08-3.28
Au: 0.6828 0.6828 0.0000  6 Sr 3.08-3.28
Au: 0.0000 0.0000 0.0000  8 Sr 3.53
Sr: 0.4342 0.4342 0.0000  1 Au 3.12
Sr: 0.8059 0.8059 0.0000  5 Au 3.08-3.28
Sr: 0.5658 0.5658 0.0000  1 Au 3.12
Sr: 0.1941 0.1941 0.0000  5 Au 3.08-3.28


Density functional theory data (GGA-PBE) for crystalline TmTlPb at its relaxed geometry.

## Properties
Its energy of formation is -0.76 eV/f.u. The symmetry is Cmcm. For the excess energy over the best structure of this formula in the dataset, the calculation gives 0.0 kJ/mol of atoms. The value obtained for the density of states at the Fermi level is 0.689 states/eV/atom.

Lattice parameters (Å, degrees): 4.4439 4.5900 8.4840 105.69 90.00 90.00
Last column: nearest neighbours and their distance in Å.
Sites, in units of the cell vectors:
Tm: 0.7500 0.9108 0.8216  6 Pb 3.20-3.52, 4 Tl 3.43-3.50
Tm: 0.2500 0.0892 0.1784  6 Pb 3.20-3.52, 4 Tl 3.43-3.50
Tl: 0.2500 0.7453 0.4905  4 Tl 3.20, 4 Tm 3.43-3.50, 2 Pb 3.57
Tl: 0.7500 0.2547 0.5095  4 Tl 3.20, 4 Tm 3.43-3.50, 2 Pb 3.57
Pb: 0.2500 0.4262 0.8523  6 Tm 3.20-3.52, 2 Pb 3.28, 2 Tl 3.57
Pb: 0.7500 0.5738 0.1477  6 Tm 3.20-3.52, 2 Pb 3.28, 2 Tl 3.57


Density functional theory data (GGA-PBE) for crystalline Er7Bi2Pt2 at its relaxed geometry.

## Properties
Its energy of formation is -8.81 eV/f.u. The symmetry is Imm2. For the excess energy over the best structure of this formula in the dataset, the calculation gives 0.0 kJ/mol of atoms. The value obtained for the density of states at the Fermi level is 1.132 states/eV/atom.

Lattice parameters (Å, degrees): 3.9019 9.5293 9.5293 61.87 78.19 78.19
Last column: nearest neighbours and their distance in Å.
Sites, in units of the cell vectors:
Er: 0.1865 0.7118 0.9153  3 Pt 2.87-3.19
Er: 0.6271 0.4785 0.2673  2 Pt 2.88, 1 Bi 3.14
Er: 0.8523 0.3962 0.8992  2 Pt 2.86
Er: 0.1477 0.1008 0.6038  2 Pt 2.86
Er: 0.3729 0.7327 0.5215  2 Pt 2.88, 1 Bi 3.14
Er: 0.8135 0.0847 0.2882  3 Pt 2.87-3.19
Er: 0.5000 0.0296 0.9704  3 Bi 3.21-3.23
Pt: 0.2603 0.3350 0.1445  7 Er 2.86-3.19
Pt: 0.7397 0.8555 0.6650  7 Er 2.86-3.19
Bi: 0.5000 0.3595 0.6405  7 Er 3.14-3.24
Bi: 0.0000 0.7696 0.2304  8 Er 3.21-3.23


Density functional theory data (GGA-PBE) for crystalline Nd4PuAs5 at its relaxed geometry.

## Properties
Its energy of formation is -14.02 eV/f.u. The symmetry is I4/m. The value obtained for the density of states at the Fermi level is 1.481 states/eV/atom.

Lattice parameters (Å, degrees): 6.0031 7.3536 7.3536 80.41 65.91 65.91
Last column: nearest neighbours and their distance in Å.
Sites, in units of the cell vectors:
As: 0.7072 0.1964 0.3912  1 Pu 2.94, 5 Nd 3.00-3.05
As: 0.9035 0.3912 0.8036  1 Pu 2.94, 5 Nd 3.00-3.05
As: 0.2948 0.8036 0.6088  1 Pu 2.94, 5 Nd 3.00-3.05
As: 0.0984 0.6088 0.1964  1 Pu 2.94, 5 Nd 3.00-3.05
As: 0.5012 0.0000 0.0000  2 Pu 3.00, 4 Nd 3.00
Nd: 0.2003 0.2020 0.3994  6 As 3.00-3.05
Nd: 0.8017 0.7980 0.6006  6 As 3.00-3.05
Nd: 0.4023 0.3994 0.7980  6 As 3.00-3.05
Nd: 0.5997 0.6006 0.2020  6 As 3.00-3.05
Pu: 0.0011 0.0000 0.0000  6 As 2.94-3.00


Density functional theory data (GGA-PBE) for crystalline CaAsSe2 at its relaxed geometry.

## Properties
As for the raw formation energy: -182 meV/atom. The symmetry is F-43m. The value obtained for the density of states at the Fermi level is 0.962 states/eV/atom.

Lattice parameters (Å, degrees): 5.0750 5.0750 5.0750 60.00 60.00 60.00
Last column: nearest neighbours and their distance in Å.
Sites, in units of the cell vectors:
As: 0.5000 0.5000 0.5000  4 Ca 3.11, 4 Se 3.11
Ca: 0.2500 0.2500 0.2500  4 As 3.11, 4 Se 3.11
Se: 0.7500 0.7500 0.7500  4 Se 3.11, 4 As 3.11
Se: 0.0000 0.0000 0.0000  4 Se 3.11, 4 Ca 3.11